Record 1
VASP calculation (PBE) on a relaxed ThSnHgGe crystal.

Cell lengths 4.536, 4.536, 9.697 Å; angles 90.00, 90.00, 90.00 degrees
Fractional coordinates of all 8 atoms:
Th  0.500  0.000  0.722
Th  0.000  0.500  0.278
Sn  0.000  0.500  0.775
Sn  0.500  0.000  0.225
Hg  0.500  0.500  0.000
Hg  0.000  0.000  0.000
Ge  0.000  0.000  0.500
Ge  0.500  0.500  0.500

DOS at the Fermi energy   0.496 states/eV/atom
Symmetry   P4/nmm (129)
Formation enthalpy at 0 K   -333.3 meV/atom

=====

Record 2
VASP calculation (PBE) on a relaxed Dy2Zn2Hg3 crystal.

Cell lengths 4.229, 6.036, 6.724 Å; angles 97.97, 90.00, 110.51 degrees
Fractional coordinates of all 7 atoms:
Dy  0.631  0.261  0.330
Dy  0.369  0.739  0.670
Zn  0.086  0.171  0.639
Zn  0.914  0.829  0.361
Hg  0.302  0.604  0.158
Hg  0.000  0.000  0.000
Hg  0.698  0.396  0.842

DOS at the Fermi energy   0.655 states/eV/atom
Symmetry   C2/m (12)
Formation enthalpy at 0 K   -293.7 meV/atom

=====

Record 3
VASP calculation (PBE) on a relaxed Ba2Pt3Pb5 crystal.

Cell lengths 4.837, 7.865, 14.552 Å; angles 90.00, 99.57, 90.00 degrees
Fractional coordinates of all 20 atoms:
Ba  0.476  0.761  0.953
Ba  0.175  0.726  0.349
Ba  0.825  0.226  0.651
Ba  0.524  0.261  0.047
Pt  0.777  0.718  0.553
Pt  0.608  0.523  0.215
Pt  0.051  0.964  0.102
Pt  0.223  0.218  0.447
Pt  0.949  0.464  0.898
Pt  0.392  0.023  0.785
Pb  0.403  0.389  0.805
Pb  0.290  0.515  0.580
Pb  0.710  0.015  0.420
Pb  0.124  0.252  0.247
Pb  0.296  0.925  0.592
Pb  0.947  0.091  0.894
Pb  0.704  0.425  0.408
Pb  0.876  0.752  0.753
Pb  0.053  0.591  0.106
Pb  0.597  0.889  0.195

DOS at the Fermi energy   0.489 states/eV/atom
Symmetry   Cmc2_1 (36)
Energy above the lowest structure with this stoichiometry   0.0 meV per atom
Formation enthalpy at 0 K   -479.1 meV/atom

=====

Record 4
VASP calculation (PBE) on a relaxed HoGaCu3 crystal.

Cell lengths 4.514, 7.311, 5.600 Å; angles 90.00, 90.00, 90.00 degrees
Fractional coordinates of all 10 atoms:
Ho  0.500  0.000  0.000
Ho  0.500  0.500  0.500
Ga  0.000  0.500  0.000
Ga  0.000  0.000  0.500
Cu  0.500  0.500  0.000
Cu  0.500  0.000  0.500
Cu  0.000  0.753  0.245
Cu  0.000  0.253  0.255
Cu  0.000  0.247  0.755
Cu  0.000  0.747  0.745

DOS at the Fermi energy   0.387 states/eV/atom
Symmetry   Pbam (55)
Energy above the lowest structure with this stoichiometry   301.3 meV per atom
Formation enthalpy at 0 K   71.4 meV/atom

=====

Record 5
VASP calculation (PBE) on a relaxed ScSb2Ir crystal.

Cell lengths 6.332, 6.332, 6.332 Å; angles 145.81, 143.25, 51.06 degrees
Fractional coordinates of all 4 atoms:
Ir  0.786  0.286  0.500
Sb  0.957  0.957  0.000
Sb  0.224  0.724  0.500
Sc  0.534  0.534  0.000

E_form (uncorrected)   -0.40 eV per atom
DOS at the Fermi energy   0.478 states/eV/atom
Symmetry   Imm2 (44)
Energy above the lowest structure with this stoichiometry   26.5 meV per atom

=====

Record 6
VASP calculation (PBE) on a relaxed UCuSi2 crystal.

Cell lengths 3.932, 10.379, 13.186 Å; angles 90.00, 90.00, 90.00 degrees
Fractional coordinates of all 32 atoms:
U  0.750  0.458  0.696
U  0.250  0.958  0.804
U  0.250  0.542  0.304
U  0.750  0.042  0.196
U  0.750  0.241  0.950
U  0.250  0.741  0.550
U  0.250  0.759  0.050
U  0.750  0.259  0.450
Cu  0.750  0.544  0.944
Cu  0.250  0.044  0.556
Cu  0.250  0.456  0.056
Cu  0.750  0.956  0.444
Cu  0.750  0.337  0.202
Cu  0.250  0.837  0.298
Cu  0.250  0.663  0.798
Cu  0.750  0.163  0.702
Si  0.750  0.956  0.970
Si  0.250  0.456  0.530
Si  0.250  0.044  0.030
Si  0.750  0.544  0.470
Si  0.750  0.759  0.887
Si  0.250  0.259  0.613
Si  0.250  0.241  0.113
Si  0.750  0.741  0.387
Si  0.750  0.748  0.708
Si  0.250  0.248  0.792
Si  0.250  0.252  0.292
Si  0.750  0.752  0.208
Si  0.750  0.951  0.628
Si  0.250  0.451  0.872
Si  0.250  0.049  0.372
Si  0.750  0.549  0.128

E_form (uncorrected)   -0.27 eV per atom
DOS at the Fermi energy   1.543 states/eV/atom
Symmetry   Pnma (62)

=====

Record 7
VASP calculation (PBE) on a relaxed KRb2BaI crystal.

Cell lengths 7.395, 7.395, 6.926 Å; angles 90.00, 90.00, 90.00 degrees
Fractional coordinates of all 5 atoms:
I  0.000  0.000  0.000
K  0.500  0.500  0.500
Ba  0.000  0.000  0.500
Rb  0.000  0.500  0.000
Rb  0.500  0.000  0.000

E_form (uncorrected)   -0.41 eV per atom
DOS at the Fermi energy   0.865 states/eV/atom
Symmetry   P4/mmm (123)

=====

Record 8
VASP calculation (PBE) on a relaxed Pm2ErBi crystal.

Cell lengths 4.125, 4.125, 9.868 Å; angles 77.93, 77.93, 60.00 degrees
Fractional coordinates of all 4 atoms:
Pm  0.072  0.072  0.785
Pm  0.262  0.262  0.214
Er  0.500  0.500  0.500
Bi  0.667  0.667  0.000

DOS at the Fermi energy   1.349 states/eV/atom
Symmetry   R3m (160)
Energy above the lowest structure with this stoichiometry   212.1 meV per atom
Formation enthalpy at 0 K   -176.9 meV/atom

=====

Record 9
VASP calculation (PBE) on a relaxed Re2MoH crystal.

Cell lengths 4.245, 4.245, 4.245 Å; angles 60.00, 60.00, 60.00 degrees
Fractional coordinates of all 4 atoms:
Re  0.250  0.250  0.250
Re  0.750  0.750  0.750
Mo  0.500  0.500  0.500
H  0.000  0.000  0.000

DOS at the Fermi energy   0.708 states/eV/atom
Symmetry   Fm-3m (225)
Energy above the lowest structure with this stoichiometry   506.6 meV per atom

=====

Record 10
VASP calculation (PBE) on a relaxed PmPrEr4 crystal.

Cell lengths 3.572, 12.892, 13.836 Å; angles 158.72, 58.60, 123.99 degrees
Fractional coordinates of all 6 atoms:
Pm  0.000  0.000  0.000
Pr  0.500  0.000  0.500
Er  0.834  0.667  0.500
Er  0.166  0.333  0.500
Er  0.339  0.670  0.000
Er  0.661  0.330  0.000

DOS at the Fermi energy   1.320 states/eV/atom
Symmetry   P2/m (10)
Energy above the lowest structure with this stoichiometry   0.0 meV per atom
Formation enthalpy at 0 K   19.9 meV/atom